Ru2Au2N: optimized geometry, GGA-PBE.

Cell: 3.412 3.412 14.257 Å, 90.00 90.00 90.00°
Space group I4/mmm (No. 139)
Inequivalent atoms, fractional coordinates:
Ru: 0.000 0.500 0.250 [4 per cell]
Au: 0.000 0.000 0.094 [4 per cell]
N: 0.000 0.000 0.500 [2 per cell]

Calculated values
- raw formation energy (meV per atom) = 1552
- energy above the most stable polymorph in this dataset (eV per formula unit) = 0.35
- total moment (μB per atom) = 0.00
- crystal system = tetragonal
- V (Å³/cell) = 166
- density of states at the Fermi level (states/eV/cell) = 13.5